(1)
Th3CoCu2 | PBE | optimized geometry

a b c (Å): 4.2708 10.7359 11.8768
angles (deg): 90.00 90.00 90.00
Fractional positions:
1 Cu 0.2500 0.8062 0.9859
2 Cu 0.7500 0.0126 0.6994
3 Cu 0.2500 0.6938 0.4859
4 Cu 0.7500 0.3062 0.5141
5 Cu 0.2500 0.5126 0.8006
6 Cu 0.2500 0.9874 0.3006
7 Cu 0.7500 0.4874 0.1994
8 Cu 0.7500 0.1938 0.0141
9 Th 0.7500 0.5672 0.6119
10 Th 0.2500 0.1271 0.5500
11 Th 0.7500 0.8729 0.4500
12 Th 0.7500 0.6271 0.9500
13 Th 0.2500 0.8073 0.7286
14 Th 0.2500 0.0672 0.8881
15 Th 0.7500 0.1927 0.2714
16 Th 0.7500 0.9328 0.1119
17 Th 0.7500 0.3073 0.7714
18 Th 0.2500 0.3729 0.0500
19 Th 0.2500 0.6927 0.2286
20 Th 0.2500 0.4328 0.3881
21 Co 0.2500 0.1247 0.1202
22 Co 0.2500 0.3753 0.6202
23 Co 0.7500 0.6247 0.3798
24 Co 0.7500 0.8753 0.8798

Calculated values
final energy: -6.41 eV/atom
symmetry: Pnma

---

(2)
Th3Co3Cu2 | PBE | optimized geometry

a b c (Å): 5.3992 7.9855 7.9855
angles (deg): 120.00 90.00 90.00
Fractional positions:
1 Th 0.7500 0.0000 0.2816
2 Th 0.2500 0.7184 0.0000
3 Th 0.2500 0.2816 0.2816
4 Th 0.7500 0.7184 0.7184
5 Th 0.2500 0.0000 0.7184
6 Th 0.7500 0.2816 0.0000
7 Cu 0.0000 0.6667 0.3333
8 Cu 0.5000 0.6667 0.3333
9 Cu 0.5000 0.3333 0.6667
10 Cu 0.0000 0.3333 0.6667
11 Co 0.7500 0.0000 0.6120
12 Co 0.2500 0.0000 0.3880
13 Co 0.2500 0.3880 0.0000
14 Co 0.7500 0.3880 0.3880
15 Co 0.7500 0.6120 0.0000
16 Co 0.2500 0.6120 0.6120

Calculated values
final energy: -6.60 eV/atom
symmetry: P6_3/mcm

---

(3)
ThCo4Cu | PBE | optimized geometry

a b c (Å): 4.9637 4.9637 4.9637
angles (deg): 60.00 60.00 60.00
Each line ends with the local moment (μB).
Fractional positions:
1 Co 0.6260 0.6260 0.1219  1.30
2 Co 0.6260 0.1219 0.6260  1.30
3 Co 0.1219 0.6260 0.6260  1.30
4 Co 0.6260 0.6260 0.6260  1.30
5 Cu 0.0000 0.0000 0.0000  0.01
6 Th 0.2500 0.2500 0.2500  -0.25

Calculated values
final energy: -6.70 eV/atom
symmetry: F-43m

---

(4)
Th3Co8Cu | PBE | optimized geometry

a b c (Å): 5.0408 5.0408 8.7797
angles (deg): 73.32 73.32 60.00
Each line ends with the local moment (μB).
Fractional positions:
1 Th 0.3774 0.3774 0.8679  -0.25
2 Th 0.5096 0.5096 0.4712  -0.18
3 Th 0.9861 0.9861 0.0416  -0.15
4 Cu 0.8657 0.8657 0.4028  0.02
5 Co 0.9397 0.4432 0.6774  1.03
6 Co 0.6878 0.6878 0.9367  0.70
7 Co 0.9397 0.9397 0.6774  1.03
8 Co 0.4361 0.9388 0.1890  0.48
9 Co 0.4361 0.4361 0.1890  0.48
10 Co 0.4432 0.9397 0.6774  1.03
11 Co 0.1897 0.1897 0.4308  1.03
12 Co 0.9388 0.4361 0.1890  0.48

Calculated values
final energy: -7.08 eV/atom
symmetry: R3m

---

Number 1: calculated formation energy -14.15 kJ/mol of atoms. Number 2: calculated formation energy -12.21 kJ/mol of atoms. Number 3: calculated formation energy -4.40 kJ/mol of atoms. Number 4: calculated formation energy -13.69 kJ/mol of atoms.